1.
DFT (PBE-GGA) results for a geometry-optimized Li4PtO3 structure.

```
16
Lattice="5.006 0.000 0.000 -2.503 4.926 -1.846 0.000 -0.056 6.977" Properties=species:S:1:pos:R:3 pbc="T T T"
O 2.351 1.702 5.389
O 2.655 1.730 1.900
O 0.115 2.838 3.115
O -0.115 2.866 -0.373
O 2.399 4.100 3.893
O 2.607 4.128 0.405
Pt 0.569 4.834 3.447
Pt -0.569 4.862 -0.042
Li 0.610 0.983 6.186
Li 4.395 1.012 2.697
Li 1.835 2.174 3.613
Li 3.171 2.202 0.125
Li -1.017 2.990 4.794
Li 1.017 3.018 1.305
Li -1.601 3.591 2.253
Li 1.601 3.619 -1.235
```

=====

2.
DFT (PBE-GGA) results for a geometry-optimized CsMg6Pb4 structure.

```
11
Lattice="4.895 0.000 0.000 0.000 8.721 0.000 0.000 -4.360 7.553" Properties=species:S:1:pos:R:3 pbc="T T T"
Cs 0.000 0.000 0.000
Mg 0.000 4.360 0.553
Mg 2.447 1.642 5.983
Mg 0.000 2.659 3.500
Mg 0.000 6.062 3.500
Mg 2.447 -1.642 5.983
Mg 2.447 0.000 3.139
Pb 2.447 4.360 4.537
Pb 2.447 2.611 1.508
Pb 2.447 6.110 1.508
Pb 0.000 0.000 5.035
```

=====

3.
DFT (PBE-GGA) results for a geometry-optimized Ba3CdPt8 structure.

```
12
Lattice="-0.538 -2.995 -4.738 -2.159 -5.198 0.184 -9.304 0.717 -2.744" Properties=species:S:1:pos:R:3 pbc="T T T"
Ba -9.147 -2.447 -4.108
Ba -2.777 -8.160 -4.566
Ba -5.950 -3.759 -3.642
Cd -5.866 -6.893 -5.016
Pt -3.251 -4.924 -4.877
Pt -8.588 -5.719 -3.799
Pt -2.984 -3.433 -2.519
Pt -8.853 -7.196 -6.136
Pt -4.557 -1.230 -2.052
Pt -10.580 -4.959 -5.704
Pt -4.058 -6.020 -2.427
Pt -7.788 -4.633 -6.227
```

=====

4.
DFT (PBE-GGA) results for a geometry-optimized Pr3Cd2Pt structure.

```
12
Lattice="-3.654 3.922 1.551 -3.420 -0.440 -6.944 -3.263 -7.839 2.095" Properties=species:S:1:pos:R:3 pbc="T T T"
Pr -2.681 1.850 -0.961
Pr -4.393 1.632 -4.432
Pr -1.404 -1.621 0.792
Pr -7.223 -2.516 -0.617
Pr -3.114 -1.841 -2.680
Pr -8.933 -2.735 -4.089
Cd -6.399 -0.686 -3.300
Cd -4.689 -0.467 0.172
Cd -5.648 -3.890 -3.470
Cd -3.938 -3.670 0.002
Pt -2.566 -0.329 -5.208
Pt -4.508 3.811 -0.185
```

=====

5.
DFT (PBE-GGA) results for a geometry-optimized KRb2AgCl4 structure.

```
16
Lattice="-0.954 1.313 4.183 -6.415 -3.467 -2.781 5.282 -14.355 5.712" Properties=species:S:1:pos:R:3 pbc="T T T"
K 2.343 -11.426 4.122
K -4.431 -5.083 2.991
Rb -2.105 -10.003 2.660
Rb -2.055 -0.877 2.213
Rb 0.017 -6.506 4.453
Rb -0.034 -15.632 4.900
Ag -1.263 -12.045 5.900
Ag -0.825 -4.464 1.213
Cl -3.108 -3.487 0.386
Cl -0.201 -9.704 5.407
Cl 1.020 -13.022 6.728
Cl -1.887 -6.805 1.706
Cl 2.641 -7.177 2.856
Cl 0.000 0.000 0.000
Cl -2.114 -13.243 3.676
Cl 0.026 -3.266 3.438
```

=====

6.
DFT (PBE-GGA) results for a geometry-optimized DyLuGe2 structure.

```
4
Lattice="-3.205 2.284 0.512 -2.179 -2.272 -3.508 -1.726 -3.114 3.089" Properties=species:S:1:pos:R:3 pbc="T T T"
Ge -0.863 -1.557 1.544
Ge -1.090 -1.136 -1.754
Lu -3.555 -1.551 0.046
Dy -1.603 1.142 0.256
```

=====

Number 1: VASP energy -4.944 eV per atom, volume 172 Å³ per cell. Number 2: VASP energy -2.370 eV per atom, volume 322 Å³ per cell. Number 3: VASP energy -5.205 eV per atom, volume 252 Å³ per cell. Number 4: VASP energy -4.177 eV per atom, volume 359 Å³ per cell. Number 5: VASP energy -3.203 eV per atom, volume 548 Å³ per cell. Number 6: VASP energy -5.203 eV per atom, volume 88 Å³ per cell.